Computed, not measured: a geometry-optimized AgAsXe2F10 structure at the GGA-PBE level of DFT.

Geometry as extended XYZ:
```
28
Lattice="-4.096 4.096 6.238 4.096 -4.096 6.238 4.096 4.096 -6.238" Properties=species:S:1:pos:R:3 pbc="T T T"
Ag 0.000 0.000 3.119
Ag 0.000 0.000 9.357
As 4.096 0.000 3.119
As 0.000 4.096 3.119
Xe 6.134 2.038 0.000
Xe 2.038 2.058 0.000
Xe 2.058 2.038 6.238
Xe -2.038 2.058 6.238
F 0.897 0.923 -1.330
F 3.371 -1.610 3.117
F 4.096 0.000 1.349
F 5.706 -0.725 3.121
F 7.269 0.897 1.330
F 4.993 3.173 -1.330
F 2.486 0.725 3.121
F 4.096 0.000 4.889
F 4.821 1.610 3.117
F 3.173 3.199 1.330
F -0.897 0.923 4.907
F 0.725 2.486 3.117
F 0.000 4.096 1.349
F -1.610 3.371 3.121
F 0.923 0.897 7.568
F 3.199 3.173 4.907
F 1.610 4.821 3.121
F 0.000 4.096 4.889
F -0.725 5.706 3.117
F -3.173 3.199 7.568
```

Results
- VASP energy: -87.5 eV/cell
- SG: I-4c2

Computed, not measured: a geometry-optimized FeAg2As structure at the GGA-PBE level of DFT.

Geometry as extended XYZ:
```
4
Lattice="0.000 3.154 3.154 3.154 0.000 3.154 3.154 3.154 0.000" Properties=species:S:1:pos:R:3 pbc="T T T"
Fe 0.000 0.000 0.000
Ag 1.577 1.577 1.577
Ag 3.154 3.154 3.154
As 4.731 4.731 4.731
```

Results
- VASP energy: -17.2 eV/cell
- SG: F-43m

Computed, not measured: a geometry-optimized Fe3AgAs5 structure at the GGA-PBE level of DFT.

Geometry as extended XYZ:
```
9
Lattice="4.947 0.000 0.000 -2.473 4.284 0.000 0.000 0.000 7.448" Properties=species:S:1:pos:R:3 pbc="T T T"
Fe -1.237 2.142 0.000
Fe 2.473 0.000 0.000
Fe 1.237 2.142 0.000
Ag 0.000 0.000 3.724
As 0.000 0.000 0.000
As 0.000 2.856 2.076
As 0.000 2.856 5.372
As 2.473 1.428 2.076
As 2.473 1.428 5.372
```

Results
- VASP energy: -50.4 eV/cell
- SG: P6/mmm

Computed, not measured: a geometry-optimized HfFeAgAs structure at the GGA-PBE level of DFT.

Geometry as extended XYZ:
```
4
Lattice="0.000 3.184 3.184 3.184 0.000 3.184 3.184 3.184 0.000" Properties=species:S:1:pos:R:3 pbc="T T T"
Hf 0.000 0.000 0.000
Fe 4.776 4.776 4.776
Ag 1.592 1.592 1.592
As 3.184 3.184 3.184
```

Results
- SG: F-43m
- Relative energy among the computed polymorphs: 137.4 meV/atom

Computed, not measured: a geometry-optimized HfFeAgAs structure at the GGA-PBE level of DFT.

Geometry as extended XYZ:
```
4
Lattice="0.000 3.220 3.220 3.220 0.000 3.220 3.220 3.220 0.000" Properties=species:S:1:pos:R:3 pbc="T T T"
Hf 0.000 0.000 0.000
Fe 3.220 3.220 3.220
Ag 4.830 4.830 4.830
As 1.610 1.610 1.610
```

Results
- SG: F-43m
- Relative energy among the computed polymorphs: 0.0 meV/atom

Computed, not measured: a geometry-optimized FeAgHgAs structure at the GGA-PBE level of DFT.

Geometry as extended XYZ:
```
4
Lattice="0.000 3.316 3.316 3.316 0.000 3.316 3.316 3.316 0.000" Properties=species:S:1:pos:R:3 pbc="T T T"
Fe 0.000 0.000 0.000
Ag 1.658 1.658 1.658
Hg 3.316 3.316 3.316
As 4.974 4.974 4.974
```

Results
- SG: F-43m
- Relative energy among the computed polymorphs: 83.9 meV/atom

Computed, not measured: a geometry-optimized FeAgHgAs structure at the GGA-PBE level of DFT.

Geometry as extended XYZ:
```
4
Lattice="0.000 3.304 3.304 3.304 0.000 3.304 3.304 3.304 0.000" Properties=species:S:1:pos:R:3 pbc="T T T"
Fe 0.000 0.000 0.000
Ag 3.304 3.304 3.304
Hg 1.652 1.652 1.652
As 4.956 4.956 4.956
```

Results
- SG: F-43m
- Relative energy among the computed polymorphs: 0.0 meV/atom

Computed, not measured: a geometry-optimized FeAgAsIr structure at the GGA-PBE level of DFT.

Geometry as extended XYZ:
```
4
Lattice="0.000 3.115 3.115 3.115 0.000 3.115 3.115 3.115 0.000" Properties=species:S:1:pos:R:3 pbc="T T T"
Fe 0.000 0.000 0.000
Ag 1.558 1.558 1.558
As 4.673 4.673 4.673
Ir 3.115 3.115 3.115
```

Results
- SG: F-43m
- Relative energy among the computed polymorphs: 0.0 meV/atom

Computed, not measured: a geometry-optimized LiFeAgAs structure at the GGA-PBE level of DFT.

Geometry as extended XYZ:
```
4
Lattice="0.000 3.087 3.087 3.087 0.000 3.087 3.087 3.087 0.000" Properties=species:S:1:pos:R:3 pbc="T T T"
Li 0.000 0.000 0.000
Fe 4.631 4.631 4.631
Ag 1.544 1.544 1.544
As 3.087 3.087 3.087
```

Results
- SG: F-43m
- Relative energy among the computed polymorphs: 86.4 meV/atom

Computed, not measured: a geometry-optimized LiFeAgAs structure at the GGA-PBE level of DFT.

Geometry as extended XYZ:
```
4
Lattice="0.000 3.077 3.077 3.077 0.000 3.077 3.077 3.077 0.000" Properties=species:S:1:pos:R:3 pbc="T T T"
Li 0.000 0.000 0.000
Fe 3.077 3.077 3.077
Ag 4.615 4.615 4.615
As 1.538 1.538 1.538
```

Results
- SG: F-43m
- Relative energy among the computed polymorphs: 0.0 meV/atom

Computed, not measured: a geometry-optimized LuFeAgAs structure at the GGA-PBE level of DFT.

Geometry as extended XYZ:
```
4
Lattice="0.000 3.251 3.251 3.251 0.000 3.251 3.251 3.251 0.000" Properties=species:S:1:pos:R:3 pbc="T T T"
Lu 0.000 0.000 0.000
Fe 3.251 3.251 3.251
Ag 4.877 4.877 4.877
As 1.626 1.626 1.626
```

Results
- SG: F-43m
- Relative energy among the computed polymorphs: 0.0 meV/atom

Computed, not measured: a geometry-optimized LuFeAgAs structure at the GGA-PBE level of DFT.

Geometry as extended XYZ:
```
4
Lattice="0.000 3.279 3.279 3.279 0.000 3.279 3.279 3.279 0.000" Properties=species:S:1:pos:R:3 pbc="T T T"
Lu 0.000 0.000 0.000
Fe 4.919 4.919 4.919
Ag 1.640 1.640 1.640
As 3.279 3.279 3.279
```

Results
- SG: F-43m
- Relative energy among the computed polymorphs: 173.7 meV/atom

Computed, not measured: a geometry-optimized FeNiAgAs structure at the GGA-PBE level of DFT.

Geometry as extended XYZ:
```
4
Lattice="0.000 3.061 3.061 3.061 0.000 3.061 3.061 3.061 0.000" Properties=species:S:1:pos:R:3 pbc="T T T"
Fe 0.000 0.000 0.000
Ni 1.530 1.530 1.530
Ag 3.061 3.061 3.061
As 4.591 4.591 4.591
```

Results
- SG: F-43m
- Relative energy among the computed polymorphs: 79.5 meV/atom

Computed, not measured: a geometry-optimized FeNiAgAs structure at the GGA-PBE level of DFT.

Geometry as extended XYZ:
```
4
Lattice="0.000 3.030 3.030 3.030 0.000 3.030 3.030 3.030 0.000" Properties=species:S:1:pos:R:3 pbc="T T T"
Fe 0.000 0.000 0.000
Ni 3.030 3.030 3.030
Ag 1.515 1.515 1.515
As 4.545 4.545 4.545
```

Results
- SG: F-43m
- Relative energy among the computed polymorphs: 0.0 meV/atom

Computed, not measured: a geometry-optimized FeAgAsPd structure at the GGA-PBE level of DFT.

Geometry as extended XYZ:
```
4
Lattice="0.000 3.145 3.145 3.145 0.000 3.145 3.145 3.145 0.000" Properties=species:S:1:pos:R:3 pbc="T T T"
Fe 0.000 0.000 0.000
Ag 1.572 1.572 1.572
As 4.717 4.717 4.717
Pd 3.145 3.145 3.145
```

Results
- SG: F-43m
- Relative energy among the computed polymorphs: 0.0 meV/atom

Computed, not measured: a geometry-optimized FeAgAsPt structure at the GGA-PBE level of DFT.

Geometry as extended XYZ:
```
4
Lattice="0.000 3.159 3.159 3.159 0.000 3.159 3.159 3.159 0.000" Properties=species:S:1:pos:R:3 pbc="T T T"
Fe 0.000 0.000 0.000
Ag 1.580 1.580 1.580
As 4.739 4.739 4.739
Pt 3.159 3.159 3.159
```

Results
- SG: F-43m
- Relative energy among the computed polymorphs: 0.0 meV/atom

Computed, not measured: a geometry-optimized FeReAgAs structure at the GGA-PBE level of DFT.

Geometry as extended XYZ:
```
4
Lattice="0.000 3.087 3.087 3.087 0.000 3.087 3.087 3.087 0.000" Properties=species:S:1:pos:R:3 pbc="T T T"
Fe 0.000 0.000 0.000
Re 3.087 3.087 3.087
Ag 1.543 1.543 1.543
As 4.630 4.630 4.630
```

Results
- SG: F-43m
- Relative energy among the computed polymorphs: 0.0 meV/atom

Computed, not measured: a geometry-optimized FeTcAgAs structure at the GGA-PBE level of DFT.

Geometry as extended XYZ:
```
4
Lattice="0.000 3.084 3.084 3.084 0.000 3.084 3.084 3.084 0.000" Properties=species:S:1:pos:R:3 pbc="T T T"
Fe 0.000 0.000 0.000
Tc 3.084 3.084 3.084
Ag 1.542 1.542 1.542
As 4.626 4.626 4.626
```

Results
- SG: F-43m
- Relative energy among the computed polymorphs: 0.0 meV/atom

Computed, not measured: a geometry-optimized FeAgAsW structure at the GGA-PBE level of DFT.

Geometry as extended XYZ:
```
4
Lattice="0.000 3.111 3.111 3.111 0.000 3.111 3.111 3.111 0.000" Properties=species:S:1:pos:R:3 pbc="T T T"
Fe 0.000 0.000 0.000
Ag 1.555 1.555 1.555
As 4.666 4.666 4.666
W 3.111 3.111 3.111
```

Results
- SG: F-43m
- Relative energy among the computed polymorphs: 0.0 meV/atom

Computed, not measured: a geometry-optimized ZrFeAgAs structure at the GGA-PBE level of DFT.

Geometry as extended XYZ:
```
4
Lattice="0.000 3.223 3.223 3.223 0.000 3.223 3.223 3.223 0.000" Properties=species:S:1:pos:R:3 pbc="T T T"
Zr 0.000 0.000 0.000
Fe 4.835 4.835 4.835
Ag 1.612 1.612 1.612
As 3.223 3.223 3.223
```

Results
- SG: F-43m
- Relative energy among the computed polymorphs: 161.4 meV/atom

Computed, not measured: a geometry-optimized ZrFeAgAs structure at the GGA-PBE level of DFT.

Geometry as extended XYZ:
```
4
Lattice="0.000 3.238 3.238 3.238 0.000 3.238 3.238 3.238 0.000" Properties=species:S:1:pos:R:3 pbc="T T T"
Zr 0.000 0.000 0.000
Fe 3.238 3.238 3.238
Ag 4.857 4.857 4.857
As 1.619 1.619 1.619
```

Results
- SG: F-43m
- Relative energy among the computed polymorphs: 0.0 meV/atom

Computed, not measured: a geometry-optimized Ga3Ag2As3 structure at the GGA-PBE level of DFT.

Geometry as extended XYZ:
```
8
Lattice="4.523 0.000 0.000 0.000 2.988 0.000 -0.432 0.000 12.069" Properties=species:S:1:pos:R:3 pbc="T T T"
Ga 0.000 0.000 0.000
Ga 1.193 1.494 2.471
Ga 2.898 1.494 9.598
Ag 0.935 1.494 5.198
Ag 3.156 1.494 6.871
As 0.878 0.000 8.132
As 2.261 1.494 0.000
As 3.213 0.000 3.937
```

Results
- VASP energy: -27.1 eV/cell
- SG: P2/m

Computed, not measured: a geometry-optimized GaAgAs2 structure at the GGA-PBE level of DFT.

Geometry as extended XYZ:
```
4
Lattice="0.000 3.377 3.377 3.377 0.000 3.377 3.377 3.377 0.000" Properties=species:S:1:pos:R:3 pbc="T T T"
Ga 0.000 0.000 0.000
Ag 1.689 1.689 1.689
As 3.377 3.377 3.377
As 5.066 5.066 5.066
```

Results
- VASP energy: -14.1 eV/cell
- SG: F-43m

Computed, not measured: a geometry-optimized GaAgAs2O7 structure at the GGA-PBE level of DFT.

Geometry as extended XYZ:
```
44
Lattice="7.039 0.000 0.000 0.000 8.375 0.000 -3.025 0.000 9.279" Properties=species:S:1:pos:R:3 pbc="T T T"
Ga 1.501 1.847 0.081
Ga -0.012 2.341 4.720
Ga 4.026 6.034 4.559
Ga 2.513 6.528 9.199
Ag -0.782 5.327 9.128
Ag 0.731 7.234 4.488
Ag 3.282 1.140 4.791
Ag 4.795 3.047 0.151
As -0.743 4.901 2.680
As -2.256 7.661 7.319
As 0.732 0.328 7.404
As 2.245 3.859 2.764
As 1.769 4.516 6.515
As 3.281 8.046 1.875
As 6.269 0.714 1.960
As 4.757 3.474 6.600
O -0.233 2.027 0.999
O -1.746 2.161 5.639
O -2.445 0.822 7.983
O -0.932 3.365 3.343
O -0.335 0.743 3.605
O -1.847 3.445 8.245
O 1.048 5.188 2.646
O -0.464 7.374 7.285
O 1.847 0.443 1.424
O 0.335 3.744 6.064
O 0.963 0.970 5.843
O 2.475 3.217 1.203
O 0.265 1.513 8.541
O 1.778 2.675 3.901
O 2.236 5.700 5.378
O 3.748 6.862 0.739
O 1.538 5.157 8.076
O 3.051 7.405 3.437
O 3.679 4.631 3.216
O 2.166 7.931 7.855
O 4.478 1.000 1.994
O 2.965 3.187 6.634
O 5.861 4.930 1.034
O 4.348 7.632 5.674
O 4.946 5.009 5.937
O 6.459 7.552 1.297
O 5.760 6.214 3.641
O 4.247 6.348 8.281
```

Results
- VASP energy: -250.7 eV/cell
- SG: P2_1/c

Computed, not measured: a geometry-optimized GaAgAsO structure at the GGA-PBE level of DFT.

Geometry as extended XYZ:
```
8
Lattice="3.713 0.000 0.000 0.000 3.713 0.000 0.000 0.000 9.479" Properties=species:S:1:pos:R:3 pbc="T T T"
Ga 0.928 0.928 0.894
Ga 2.785 2.785 8.585
Ag 0.928 2.785 4.739
Ag 2.785 0.928 4.739
As 0.928 0.928 6.780
As 2.785 2.785 2.699
O 0.928 2.785 0.000
O 2.785 0.928 0.000
```

Results
- SG: P4/nmm
- Relative energy among the computed polymorphs: 248.7 meV/atom

Computed, not measured: a geometry-optimized GaAgAsO structure at the GGA-PBE level of DFT.

Geometry as extended XYZ:
```
8
Lattice="4.041 0.000 0.000 0.000 6.829 0.000 0.000 0.000 5.384" Properties=species:S:1:pos:R:3 pbc="T T T"
Ga 0.000 1.030 0.000
Ga 0.000 5.799 2.692
Ag 2.020 1.920 2.301
Ag 2.020 4.910 4.993
As 2.020 2.363 4.896
As 2.020 4.466 2.204
O 0.000 0.640 1.860
O 0.000 6.190 4.551
```

Results
- SG: Pmc2_1
- Relative energy among the computed polymorphs: 43.6 meV/atom